First-principles (PBE-GGA) data for a relaxed structure of CsBe3Bi, as listed in the Alexandria database.

Calculated values
* E: -0.940 eV/atom
* excess energy over the best structure of this formula in the dataset: 990 meV/atom
* mass density: 4500 kg/m³
* energy relative to the elements: 2242.9 meV/atom

The structure in CIF format:
```
data_CsBe3Bi
_cell_length_a 5.144
_cell_length_b 5.144
_cell_length_c 5.144
_cell_angle_alpha 90.00
_cell_angle_beta 90.00
_cell_angle_gamma 90.00
_space_group_name_H-M_alt 'P 1'
_space_group_IT_number 1
loop_
_space_group_symop_operation_xyz
'x,y,z'
loop_
_atom_site_label
_atom_site_type_symbol
_atom_site_fract_x
_atom_site_fract_y
_atom_site_fract_z
Cs1 Cs 0.000 0.000 0.000
Be1 Be 0.000 0.500 0.000
Be2 Be 0.000 0.000 0.500
Be3 Be 0.500 0.000 0.000
Bi1 Bi 0.500 0.500 0.500
```

First-principles (PBE-GGA) data for a relaxed structure of CsBe3Bi, as listed in the Alexandria database.

Calculated values
* E: -1.930 eV/atom
* excess energy over the best structure of this formula in the dataset: 0 meV/atom
* mass density: 4034 kg/m³
* energy relative to the elements: 1252.8 meV/atom

The structure in CIF format:
```
data_CsBe3Bi
_cell_length_a 5.335
_cell_length_b 5.335
_cell_length_c 5.335
_cell_angle_alpha 90.00
_cell_angle_beta 90.00
_cell_angle_gamma 90.00
_space_group_name_H-M_alt 'P 1'
_space_group_IT_number 1
loop_
_space_group_symop_operation_xyz
'x,y,z'
loop_
_atom_site_label
_atom_site_type_symbol
_atom_site_fract_x
_atom_site_fract_y
_atom_site_fract_z
Cs1 Cs 0.500 0.500 0.500
Be1 Be 0.000 0.500 0.000
Be2 Be 0.000 0.000 0.500
Be3 Be 0.500 0.000 0.000
Bi1 Bi 0.000 0.000 0.000
```

First-principles (PBE-GGA) data for a relaxed structure of CsBeBiF6, as listed in the Alexandria database.

Calculated values
* E: -4.865 eV/atom
* raw formation energy: -2678 meV/atom
* mass density: 4479 kg/m³

The structure in CIF format:
```
data_CsBeBiF6
_cell_length_a 5.572
_cell_length_b 5.572
_cell_length_c 6.410
_cell_angle_alpha 90.00
_cell_angle_beta 90.00
_cell_angle_gamma 60.00
_space_group_name_H-M_alt 'P 1'
_space_group_IT_number 1
loop_
_space_group_symop_operation_xyz
'x,y,z'
loop_
_atom_site_label
_atom_site_type_symbol
_atom_site_fract_x
_atom_site_fract_y
_atom_site_fract_z
Cs1 Cs 0.000 0.000 0.000
Be1 Be 0.667 0.667 0.500
Bi1 Bi 0.333 0.333 0.500
F1 F 0.938 0.413 0.334
F2 F 0.413 0.938 0.666
F3 F 0.649 0.413 0.666
F4 F 0.938 0.650 0.666
F5 F 0.413 0.650 0.334
F6 F 0.649 0.938 0.334
```

First-principles (PBE-GGA) data for a relaxed structure of CsBe2BiF8, as listed in the Alexandria database.

Calculated values
* E: -5.201 eV/atom
* raw formation energy: -2938 meV/atom
* mass density: 4101 kg/m³

The structure in CIF format:
```
data_CsBe2BiF8
_cell_length_a 5.150
_cell_length_b 5.150
_cell_length_c 9.499
_cell_angle_alpha 74.27
_cell_angle_beta 74.27
_cell_angle_gamma 60.00
_space_group_name_H-M_alt 'P 1'
_space_group_IT_number 1
loop_
_space_group_symop_operation_xyz
'x,y,z'
loop_
_atom_site_label
_atom_site_type_symbol
_atom_site_fract_x
_atom_site_fract_y
_atom_site_fract_z
Cs1 Cs 0.000 0.000 0.000
Be1 Be 0.758 0.758 0.726
Be2 Be 0.242 0.242 0.274
Bi1 Bi 0.500 0.500 0.500
F1 F 0.703 0.703 0.891
F2 F 0.297 0.297 0.109
F3 F 0.497 0.236 0.342
F4 F 0.764 0.503 0.658
F5 F 0.075 0.764 0.658
F6 F 0.236 0.925 0.342
F7 F 0.925 0.497 0.342
F8 F 0.503 0.075 0.658
```

First-principles (PBE-GGA) data for a relaxed structure of CsHfBeBi2, as listed in the Alexandria database.

Calculated values
* E: -3.503 eV/atom
* mass density: 8336 kg/m³
* energy relative to the elements: 956.2 meV/atom

The structure in CIF format:
```
data_CsHfBeBi2
_cell_length_a 5.239
_cell_length_b 5.359
_cell_length_c 5.239
_cell_angle_alpha 90.00
_cell_angle_beta 90.00
_cell_angle_gamma 90.00
_space_group_name_H-M_alt 'P 1'
_space_group_IT_number 1
loop_
_space_group_symop_operation_xyz
'x,y,z'
loop_
_atom_site_label
_atom_site_type_symbol
_atom_site_fract_x
_atom_site_fract_y
_atom_site_fract_z
Cs1 Cs 0.000 0.500 0.000
Be1 Be 0.000 0.000 0.000
Hf1 Hf 0.500 0.500 0.500
Bi1 Bi 0.000 0.000 0.500
Bi2 Bi 0.500 0.000 0.000
```

First-principles (PBE-GGA) data for a relaxed structure of Cs2BeBiI6, as listed in the Alexandria database.

Calculated values
* E: -2.617 eV/atom
* raw formation energy: -755 meV/atom
* mass density: 4232 kg/m³

The structure in CIF format:
```
data_Cs2BeBiI6
_cell_length_a 9.080
_cell_length_b 9.080
_cell_length_c 8.737
_cell_angle_alpha 58.69
_cell_angle_beta 58.69
_cell_angle_gamma 90.00
_space_group_name_H-M_alt 'P 1'
_space_group_IT_number 1
loop_
_space_group_symop_operation_xyz
'x,y,z'
loop_
_atom_site_label
_atom_site_type_symbol
_atom_site_fract_x
_atom_site_fract_y
_atom_site_fract_z
Cs1 Cs 0.750 0.250 0.500
Cs2 Cs 0.250 0.750 0.500
I1 I 0.309 0.309 0.382
I2 I 0.691 0.691 0.618
I3 I 0.240 0.240 0.000
I4 I 0.760 0.760 0.000
I5 I 0.760 0.240 0.000
I6 I 0.240 0.760 0.000
Bi1 Bi 0.000 0.000 0.000
Be1 Be 0.500 0.500 0.000
```

> Which of these has the lowest E?

CsBe2BiF8